(1)
# LiZnHAu2 | Alexandria via LeMat-Bulk | GGA-PBE | optimized geometry
# uncorrected energy = -2.758 eV per atom
data_LiZnHAu2
_space_group_name_H-M_alt 'P 4/m m m'
_space_group_IT_number 123
_space_group_name_Hall '-P 4 2'
_cell_length_a 4.280
_cell_length_b 4.280
_cell_length_c 3.594
_cell_angle_alpha 90.00
_cell_angle_beta 90.00
_cell_angle_gamma 90.00
loop_
_atom_site_label
_atom_site_fract_x
_atom_site_fract_y
_atom_site_fract_z
Li1 0.000 0.000 0.000
Zn1 0.500 0.500 0.000
H1 0.000 0.000 0.500
Au1 0.000 0.500 0.500

(2)
# Li2ZnHAu | Alexandria via LeMat-Bulk | GGA-PBE | optimized geometry
# energy above the lowest structure with this stoichiometry = 0.046 eV/atom
# uncorrected energy = -2.619 eV per atom
data_Li2ZnHAu
_space_group_name_H-M_alt 'P 4/m m m'
_space_group_IT_number 123
_space_group_name_Hall '-P 4 2'
_cell_length_a 4.159
_cell_length_b 4.159
_cell_length_c 3.705
_cell_angle_alpha 90.00
_cell_angle_beta 90.00
_cell_angle_gamma 90.00
loop_
_atom_site_label
_atom_site_fract_x
_atom_site_fract_y
_atom_site_fract_z
Li1 0.000 0.500 0.000
Zn1 0.000 0.000 0.500
H1 0.500 0.500 0.000
Au1 0.500 0.500 0.500

(3)
# Li2ZrHAu | Alexandria via LeMat-Bulk | GGA-PBE | optimized geometry
# uncorrected energy = -4.104 eV per atom
data_Li2ZrHAu
_space_group_name_H-M_alt 'P 4/m m m'
_space_group_IT_number 123
_space_group_name_Hall '-P 4 2'
_cell_length_a 3.988
_cell_length_b 3.988
_cell_length_c 4.541
_cell_angle_alpha 90.00
_cell_angle_beta 90.00
_cell_angle_gamma 90.00
loop_
_atom_site_label
_atom_site_fract_x
_atom_site_fract_y
_atom_site_fract_z
Li1 0.000 0.500 0.000
Zr1 0.000 0.000 0.500
H1 0.000 0.000 0.000
Au1 0.500 0.500 0.500

(4)
# LiZr2HAu | Alexandria via LeMat-Bulk | GGA-PBE | optimized geometry
# uncorrected energy = -5.456 eV per atom
data_LiZr2HAu
_space_group_name_H-M_alt 'P 4/m m m'
_space_group_IT_number 123
_space_group_name_Hall '-P 4 2'
_cell_length_a 4.311
_cell_length_b 4.311
_cell_length_c 4.220
_cell_angle_alpha 90.00
_cell_angle_beta 90.00
_cell_angle_gamma 90.00
loop_
_atom_site_label
_atom_site_fract_x
_atom_site_fract_y
_atom_site_fract_z
Li1 0.000 0.000 0.000
Zr1 0.000 0.500 0.500
H1 0.000 0.000 0.500
Au1 0.500 0.500 0.000

(5)
# LuHAu | Alexandria via LeMat-Bulk | GGA-PBE | optimized geometry
# energy above the lowest structure with this stoichiometry = 0.000 eV/atom
# uncorrected energy = -4.267 eV per atom
data_LuHAu
_space_group_name_H-M_alt 'P 3 m 1'
_space_group_IT_number 156
_cell_length_a 3.6829
_cell_length_b 3.6829
_cell_length_c 4.2340
_cell_angle_alpha 90.00
_cell_angle_beta 90.00
_cell_angle_gamma 120.00
loop_
_space_group_symop_operation_xyz
'x,y,z'
'-y,x-y,z'
'-x+y,-x,z'
'-y,-x,z'
'-x+y,y,z'
'x,x-y,z'
loop_
_atom_site_label
_atom_site_fract_x
_atom_site_fract_y
_atom_site_fract_z
Lu1 0.0000 0.0000 0.0000
H1 0.3333 0.6667 0.9988
Au1 0.6667 0.3333 0.4999

(6)
# Lu4HAu2 | Alexandria via LeMat-Bulk | GGA-PBE | optimized geometry
# uncorrected energy = -4.560 eV per atom
data_Lu4HAu2
_space_group_name_H-M_alt 'I 4/m m m'
_space_group_IT_number 139
_space_group_name_Hall '-I 4 2'
_cell_length_a 4.587
_cell_length_b 4.587
_cell_length_c 14.544
_cell_angle_alpha 90.00
_cell_angle_beta 90.00
_cell_angle_gamma 90.00
loop_
_atom_site_label
_atom_site_fract_x
_atom_site_fract_y
_atom_site_fract_z
Lu1 0.000 0.000 0.183
Lu2 0.000 0.500 0.000
H1 0.000 0.000 0.000
Au1 0.000 0.000 0.373

(7)
# LuHAu | Alexandria via LeMat-Bulk | GGA-PBE | optimized geometry
# energy above the lowest structure with this stoichiometry = 0.212 eV/atom
# uncorrected energy = -4.055 eV per atom
data_LuHAu
_space_group_name_H-M_alt 'I 4 m m'
_space_group_IT_number 107
_space_group_name_Hall 'I 4 -2'
_cell_length_a 3.471
_cell_length_b 3.471
_cell_length_c 8.773
_cell_angle_alpha 90.00
_cell_angle_beta 90.00
_cell_angle_gamma 90.00
loop_
_atom_site_label
_atom_site_fract_x
_atom_site_fract_y
_atom_site_fract_z
Lu1 0.000 0.000 0.000
H1 0.000 0.000 0.457
Au1 0.000 0.000 0.681

(8)
# Mg2H2Au | Alexandria via LeMat-Bulk | GGA-PBE | optimized geometry
# uncorrected energy = -2.899 eV per atom
data_Mg2H2Au
_space_group_name_H-M_alt 'I 4/m m m'
_space_group_IT_number 139
_space_group_name_Hall '-I 4 2'
_cell_length_a 3.275
_cell_length_b 3.275
_cell_length_c 11.726
_cell_angle_alpha 90.00
_cell_angle_beta 90.00
_cell_angle_gamma 90.00
loop_
_atom_site_label
_atom_site_fract_x
_atom_site_fract_y
_atom_site_fract_z
Mg1 0.000 0.000 0.151
H1 0.000 0.500 0.250
Au1 0.000 0.000 0.500